DFT (meta-GGA SCAN) results for a crystal of Li4Ti3Mn3Cu2O16 relaxed with PBEsol.

a = 10.052 Å, b = 5.710 Å, c = 9.593 Å
α = 90.00°, β = 90.11°, γ = 90.00°
Space group Cm (No. 8)
Symmetry-distinct sites (fractional):
Li 0.000 0.000 0.000
Li 0.048 0.000 0.506
Li 0.219 0.500 0.902
Li 0.357 0.000 0.405
Ti 0.095 0.253 0.220
Ti 0.227 0.000 0.723
Mn 0.343 0.500 0.228
Mn 0.474 0.247 0.724
Cu 0.206 0.500 0.500
Cu 0.361 0.000 0.999
O 0.007 0.000 0.325
O 0.027 0.500 0.330
O 0.043 0.500 0.827
O 0.056 0.000 0.823
O 0.134 0.241 0.614
O 0.168 0.000 0.113
O 0.187 0.500 0.113
O 0.258 0.280 0.345
O 0.319 0.226 0.844
O 0.392 0.000 0.616
O 0.398 0.500 0.625
O 0.429 0.261 0.115

Output
E_form (uncorrected), eV per atom: -2.347
Calculated total energy, eV/cell: -616.4